# 1
LiAg2Ru at its PBEsol-relaxed geometry. Source: the Alexandria database, functional SCAN.

energy above the lowest structure with this stoichiometry: 0.153 eV per atom
total energy: -24.5939 eV/atom
formation energy from the elements: 1.57 eV/f.u.

Cell lengths 4.4154, 4.4154, 4.4154 Å; angles 60.00, 60.00, 60.00 degrees
With the nearest neighbours (Å) after each atom.
Fractional positions:
Li1 0.0000 0.0000 0.0000  8 Ag 2.70
Ag1 0.2500 0.2500 0.2500  4 Ru 2.70, 4 Li 2.70
Ag2 0.7500 0.7500 0.7500  4 Ru 2.70, 4 Li 2.70
Ru1 0.5000 0.5000 0.5000  8 Ag 2.70

---

# 2
LiAg2Ru at its PBEsol-relaxed geometry. Source: the Alexandria database, functional SCAN.

energy above the lowest structure with this stoichiometry: 0.069 eV per atom
total energy: -24.6772 eV/atom
formation energy from the elements: 1.24 eV/f.u.

Cell lengths 2.5976, 4.2145, 5.5163 Å; angles 90.00, 90.00, 90.00 degrees
With the nearest neighbours (Å) after each atom.
Fractional positions:
Li1 0.0000 0.0000 0.0000  2 Li 2.60, 6 Ag 2.64-2.87, 4 Ru 2.83
Ag1 0.0000 0.0000 0.4791  6 Ag 2.60-2.91, 2 Li 2.64-2.87, 4 Ru 2.79
Ag2 0.5000 0.5000 0.7554  6 Ag 2.60-2.91, 2 Ru 2.71-2.80, 4 Li 2.82
Ru1 0.5000 0.5000 0.2471  2 Ru 2.60, 6 Ag 2.71-2.80, 4 Li 2.83

---

# 3
Li2AgRu at its PBEsol-relaxed geometry. Source: the Alexandria database, functional SCAN.

energy above the lowest structure with this stoichiometry: 0.258 eV per atom
total energy: -17.3880 eV/atom
formation energy from the elements: 1.42 eV/f.u.

Cell lengths 4.1999, 4.1999, 4.1999 Å; angles 60.00, 60.00, 60.00 degrees
With the nearest neighbours (Å) after each atom.
Fractional positions:
Li1 0.2500 0.2500 0.2500  4 Ru 2.57, 4 Ag 2.57
Li2 0.7500 0.7500 0.7500  4 Ru 2.57, 4 Ag 2.57
Ag1 0.0000 0.0000 0.0000  8 Li 2.57
Ru1 0.5000 0.5000 0.5000  8 Li 2.57

---

# 4
Li2AgRu at its PBEsol-relaxed geometry. Source: the Alexandria database, functional SCAN.

energy above the lowest structure with this stoichiometry: 0.000 eV per atom
total energy: -17.6462 eV/atom
formation energy from the elements: 0.39 eV/f.u.

Cell lengths 2.5473, 4.4125, 5.0066 Å; angles 90.00, 92.48, 90.00 degrees
With the nearest neighbours (Å) after each atom.
Fractional positions:
Li1 0.1918 0.0000 0.2284  3 Li 2.45-2.55, 2 Ru 2.62, 2 Ag 2.65
Li2 0.8082 0.0000 0.7716  3 Li 2.45-2.55, 2 Ru 2.62, 2 Ag 2.65
Ag1 0.0000 0.5000 0.5000  2 Ag 2.55, 4 Li 2.65, 2 Ru 2.76
Ru1 0.5000 0.5000 0.0000  2 Ru 2.55, 4 Li 2.62, 2 Ag 2.76

---

# 5
Li3AgRu at its PBEsol-relaxed geometry. Source: the Alexandria database, functional SCAN.

total energy: -13.7945 eV/atom
formation energy from the elements: 4.39 eV/f.u.

Cell lengths 4.4908, 4.4908, 4.4908 Å; angles 90.00, 90.00, 90.00 degrees
With the nearest neighbours (Å) after each atom.
Fractional positions:
Li1 0.0000 0.0000 0.5000  2 Ag 2.25
Li2 0.0000 0.5000 0.0000  2 Ag 2.25
Li3 0.5000 0.0000 0.0000  2 Ag 2.25
Ag1 0.0000 0.0000 0.0000  6 Li 2.25
Ru1 0.5000 0.5000 0.5000  12 Li 3.18

---

# 6
Li3AgS at its PBEsol-relaxed geometry. Source: the Alexandria database, functional SCAN.

total energy: -10.3351 eV/atom

Cell lengths 4.5792, 4.5792, 4.5792 Å; angles 90.00, 90.00, 90.00 degrees
With the nearest neighbours (Å) after each atom.
Fractional positions:
Li1 0.0000 0.0000 0.5000  2 S 2.29
Li2 0.0000 0.5000 0.0000  2 S 2.29
Li3 0.5000 0.0000 0.0000  2 S 2.29
Ag1 0.5000 0.5000 0.5000  12 Li 3.24
S1 0.0000 0.0000 0.0000  6 Li 2.29

---

# 7
LiAgSb at its PBEsol-relaxed geometry. Source: the Alexandria database, functional SCAN.

total energy: -23.9900 eV/atom

Cell lengths 4.6834, 4.6834, 3.1997 Å; angles 90.00, 90.00, 120.00 degrees
With the nearest neighbours (Å) after each atom.
Fractional positions:
Li1 0.0000 0.0000 0.0000  6 Sb 3.14, 6 Ag 3.14, 2 Li 3.20
Ag1 0.6667 0.3333 0.5000  3 Sb 2.70
Sb1 0.3333 0.6667 0.5000  3 Ag 2.70

---

# 8
LiAg2Sb at its PBEsol-relaxed geometry. Source: the Alexandria database, functional SCAN.

total energy: -25.6178 eV/atom

Cell lengths 9.9152, 9.9152, 9.9152 Å; angles 156.39, 156.39, 33.64 degrees
With the nearest neighbours (Å) after each atom.
Fractional positions:
Li1 0.0000 0.0000 0.0000  4 Ag 2.77, 4 Sb 2.87
Li2 0.7500 0.2500 0.5000  4 Ag 2.77, 4 Sb 2.87
Ag1 0.1237 0.6250 0.9987  2 Li 2.77, 2 Sb 2.77, 4 Ag 2.86-2.88
Ag2 0.3750 0.3737 0.4987  2 Li 2.77, 2 Sb 2.77, 4 Ag 2.86-2.88
Ag3 0.6263 0.1250 0.0013  2 Li 2.77, 2 Sb 2.77, 4 Ag 2.86-2.88
Ag4 0.8750 0.8763 0.5013  2 Li 2.77, 2 Sb 2.77, 4 Ag 2.86-2.88
Sb1 0.2500 0.7500 0.5000  4 Ag 2.77, 4 Li 2.87
Sb2 0.5000 0.5000 0.0000  4 Ag 2.77, 4 Li 2.87